No. 1
Compound: Li2ZnIrCl
Source: Alexandria via LeMat-Bulk
Functional: GGA-PBE
Structure: relaxed

The structure belongs to space group P4/mmm (No. 123); the cell edges are 4.9746, 4.9746 and 4.5774 Å and the angles 90.00°, 90.00° and 90.00°. The inequivalent atoms are Li at (0.0000, 0.5000, 0.0000), Zn at (0.0000, 0.0000, 0.0000), Ir at (0.5000, 0.5000, 0.5000) and Cl at (0.0000, 0.0000, 0.5000).

The calculation puts the density of states at the Fermi level at 2.2 states/eV/f.u. The value obtained for the uncorrected formation energy is 848 meV/atom. For the calculated volume, the calculation gives 22.7 Å³/atom.

***

No. 2
Compound: Al2PtPbI
Source: Alexandria via LeMat-Bulk
Functional: GGA-PBE
Structure: relaxed

The structure belongs to space group P4/mmm (No. 123); the cell edges are 5.6687, 5.6687 and 5.0892 Å and the angles 90.00°, 90.00° and 90.00°. The inequivalent atoms are Al at (0.0000, 0.5000, 0.0000), Pt at (0.0000, 0.0000, 0.5000), Pb at (0.0000, 0.0000, 0.0000) and I at (0.5000, 0.5000, 0.5000).

The calculation puts the density of states at the Fermi level at 2.8 states/eV/f.u. The value obtained for the uncorrected formation energy is 712 meV/atom. For the calculated volume, the calculation gives 32.7 Å³/atom.

***

Question: Among the records above, which one has the highest calculated volume?
Answer: Al2PtPbI

***

Question: Look up the calculated volume of the first one.
Answer: 22.7 Å³/atom